Entry 1:
DFT (GGA-PBEsol) results for Ag3AsSe3 after structural relaxation.

Output
Uncorrected energy = -3.84 eV/atom
E above lowest polymorph = 0.028 eV per atom
E_form (uncorrected) = -0.05 eV/atom

abc: 11.3283 11.3283 8.3477
angles: 90.00 90.00 120.00
Space group R3c (No. 161, hexagonal axes)
Unique sites:
Ag 0.0692 0.3708 0.0000
As 0.0000 0.0000 0.0072
Se 0.0887 0.2129 0.6596

Entry 2:
DFT (GGA-PBEsol) results for SiAgAsSe2 after structural relaxation.

Output
Uncorrected energy = -3.45 eV/atom
E_form (uncorrected) = 0.92 eV/atom

abc: 4.982 4.982 4.816
angles: 90.00 90.00 90.00
Space group P4/mmm (No. 123)
Unique sites:
Si 0.000 0.000 0.000
Ag 0.500 0.500 0.500
As 0.500 0.500 0.000
Se 0.000 0.500 0.500

Entry 3:
DFT (GGA-PBEsol) results for TaAgAs2Se after structural relaxation.

Output
Uncorrected energy = -4.70 eV/atom
E_form (uncorrected) = 1.28 eV/atom

abc: 4.784 4.784 4.854
angles: 90.00 90.00 90.00
Space group P4/mmm (No. 123)
Unique sites:
Ta 0.000 0.000 0.000
Ag 0.500 0.500 0.500
As 0.000 0.500 0.500
Se 0.500 0.500 0.000

Entry 4:
DFT (GGA-PBEsol) results for AgTe2AsSe after structural relaxation.

Output
Uncorrected energy = -3.18 eV/atom
E above lowest polymorph = 0.000 eV per atom
E_form (uncorrected) = 0.68 eV/atom

abc: 5.497 5.497 4.711
angles: 90.00 90.00 90.00
Space group P4/mmm (No. 123)
Unique sites:
Ag 0.000 0.000 0.000
Te 0.000 0.500 0.500
As 0.500 0.500 0.000
Se 0.000 0.000 0.500